Entry from Alexandria: VTc after structural relaxation (GGA-PBE).

Unit cell a=4.9762 b=4.9762 c=4.9762 alpha=90.00 beta=90.00 gamma=90.00
With the nearest neighbours (Å) after each atom.
Space group Fm-3m (No. 225)
Asymmetric unit:
V (0.0000, 0.0000, 0.0000)  6 Tc 2.49
Tc (0.0000, 0.0000, 0.5000)  6 V 2.49

VASP energy (eV per atom): -9.0401
DOS(E_F) (states/eV per cell): 13.26
Density (g/cm³): 8.03
Magnetization (μB per formula unit): 0.318


Entry from Alexandria: V3Tc2 after structural relaxation (GGA-PBE).

Unit cell a=3.0170 b=3.0170 c=15.1295 alpha=90.00 beta=90.00 gamma=90.00
With the nearest neighbours (Å) after each atom.
Space group P4/mmm (No. 123)
Asymmetric unit:
V (0.0000, 0.0000, 0.0000)  8 Tc 2.62
V (0.0000, 0.0000, 0.2006)  8 Tc 2.62
V (0.0000, 0.0000, 0.4003)  4 Tc 2.61, 4 V 2.61
V (0.5000, 0.5000, 0.5000)  8 V 2.61
Tc (0.5000, 0.5000, 0.1003)  8 V 2.62
Tc (0.5000, 0.5000, 0.3010)  8 V 2.61-2.62

VASP energy (eV per atom): -9.9463
DOS(E_F) (states/eV per cell): 5.23
Density (g/cm³): 8.41
Magnetization (μB per formula unit): 0.000


Entry from Alexandria: VTc after structural relaxation (GGA-PBE).

Unit cell a=4.0700 b=4.0700 c=5.0835 alpha=90.00 beta=90.00 gamma=120.00
With the nearest neighbours (Å) after each atom.
Space group P6_3/mmc (No. 194)
Asymmetric unit:
V (0.3333, 0.6667, 0.2500)  5 Tc 2.35-2.54
Tc (0.3333, 0.6667, 0.7500)  5 V 2.35-2.54

VASP energy (eV per atom): -8.8210
DOS(E_F) (states/eV per cell): 2.45
Density (g/cm³): 6.78
Magnetization (μB per formula unit): 0.000


Entry from Alexandria: VTc3 after structural relaxation (GGA-PBE).

Unit cell a=3.0278 b=4.3512 c=8.6670 alpha=90.00 beta=90.00 gamma=90.00
With the nearest neighbours (Å) after each atom.
Space group Immm (No. 71)
Asymmetric unit:
V (0.0000, 0.0000, 0.0000)  8 Tc 2.54-2.65
Tc (0.0000, 0.0000, 0.5000)  4 V 2.65, 4 Tc 2.75
Tc (0.0000, 0.5000, 0.2653)  2 V 2.54, 6 Tc 2.66-2.75

VASP energy (eV per atom): -10.1512
DOS(E_F) (states/eV per cell): 6.08
Density (g/cm³): 10.03
Magnetization (μB per formula unit): 0.000


Entry from Alexandria: V4Tc after structural relaxation (GGA-PBE).

Unit cell a=7.3453 b=4.2277 c=5.0084 alpha=90.00 beta=119.22 gamma=90.00
With the nearest neighbours (Å) after each atom.
Space group C2/m (No. 12)
Asymmetric unit:
V (0.1004, 0.0000, 0.3009)  3 Tc 2.59-2.60, 5 V 2.61-2.67
V (0.1959, 0.5000, 0.0881)  7 V 2.56-2.67, 1 Tc 2.57
Tc (0.0000, 0.5000, 0.5000)  8 V 2.57-2.60

DOS(E_F) (states/eV per cell): 12.11
Density (g/cm³): 7.38
Offset from the most stable computed form (eV per atom): 0.000
Magnetization (μB per formula unit): 0.000


Entry from Alexandria: V3Tc after structural relaxation (GGA-PBE).

Unit cell a=3.8350 b=3.8350 c=3.8350 alpha=90.00 beta=90.00 gamma=90.00
With the nearest neighbours (Å) after each atom.
Space group Pm-3m (No. 221)
Asymmetric unit:
V (0.0000, 0.0000, 0.5000)  4 Tc 2.71, 8 V 2.71
Tc (0.5000, 0.5000, 0.5000)  12 V 2.71

VASP energy (eV per atom): -9.2754
DOS(E_F) (states/eV per cell): 8.20
Density (g/cm³): 7.38
Magnetization (μB per formula unit): 0.233


Entry from Alexandria: VTc after structural relaxation (GGA-PBE).

Unit cell a=3.0274 b=3.0274 c=3.0274 alpha=90.00 beta=90.00 gamma=90.00
With the nearest neighbours (Å) after each atom.
Space group Pm-3m (No. 221)
Asymmetric unit:
V (0.0000, 0.0000, 0.0000)  8 Tc 2.62
Tc (0.5000, 0.5000, 0.5000)  8 V 2.62

VASP energy (eV per atom): -10.1104
DOS(E_F) (states/eV per cell): 1.34
Density (g/cm³): 8.91
Magnetization (μB per formula unit): 0.000


Entry from Alexandria: V5Tc after structural relaxation (GGA-PBE).

Unit cell a=4.2445 b=12.7288 c=3.0114 alpha=90.00 beta=90.00 gamma=90.00
With the nearest neighbours (Å) after each atom.
Space group Cmmm (No. 65)
Asymmetric unit:
V (0.0000, 0.0000, 0.0000)  4 Tc 2.60, 4 V 2.63
V (0.0000, 0.1694, 0.5000)  8 V 2.58-2.63
V (0.0000, 0.3338, 0.0000)  6 V 2.58-2.60, 2 Tc 2.60
Tc (0.0000, 0.5000, 0.5000)  8 V 2.60

DOS(E_F) (states/eV per cell): 16.18
Density (g/cm³): 7.20
Offset from the most stable computed form (eV per atom): 0.000
Magnetization (μB per formula unit): 0.000